1.
{
  "formula": "ScSi2Te",
  "functional": "GGA-PBE",
  "state": "relaxed",
  "cell": [[-3.277, 2.472, 0.602], [-1.760, -5.345, -0.886], [-1.037, -1.751, 3.617]],
  "species": ["Si", "Si", "Sc", "Te"],
  "frac_coords": [[0.500, 0.000, 0.500], [0.000, 0.000, 0.000], [0.500, 0.500, 0.000], [0.000, 0.500, 0.500]],
  "raw_formation_energy_ev_per_atom": -0.0879,
  "magnetic_moment_mub_per_atom": 0.000,
  "final_energy_ry_per_atom": -0.3798,
  "n_ef_per_ev_fu": 1.8
}

=====

2.
{
  "formula": "ScSiTe2",
  "functional": "GGA-PBE",
  "state": "relaxed",
  "cell": [[-2.811, 3.109, 4.106], [-4.081, -0.926, 4.112], [2.964, -0.929, 2.732]],
  "species": ["Te", "Te", "Sc", "Si"],
  "frac_coords": [[0.034, 0.034, 0.125], [0.749, 0.749, 0.625], [0.444, 0.444, 0.625], [0.273, 0.273, 0.125]],
  "raw_formation_energy_ev_per_atom": -0.5371,
  "magnetic_moment_mub_per_atom": 0.000,
  "final_energy_ry_per_atom": -0.3709,
  "n_ef_per_ev_fu": 2.0
}

=====

3.
{
  "formula": "Sc2SiTe",
  "functional": "GGA-PBE",
  "state": "relaxed",
  "cell": [[3.464, -0.001, 0.000], [-0.870, 3.353, 0.000], [0.000, 0.000, 7.517]],
  "species": ["Sc", "Te", "Si", "Sc"],
  "frac_coords": [[0.000, 0.000, 0.478], [0.500, 0.500, 0.750], [0.500, 0.500, 0.250], [0.000, 0.000, 0.022]],
  "raw_formation_energy_ev_per_atom": -0.6412,
  "magnetic_moment_mub_per_atom": 0.000,
  "final_energy_ry_per_atom": -0.4372,
  "n_ef_per_ev_fu": 2.5,
  "polymorph_energy_kj_per_mol_fu": 116
}

=====

4.
{
  "formula": "ScSi2Te",
  "functional": "GGA-PBE",
  "state": "relaxed",
  "cell": [[-0.765, -3.211, 3.626], [3.445, -0.707, 3.417], [-0.724, 1.599, 4.578]],
  "species": ["Te", "Si", "Sc", "Si"],
  "frac_coords": [[0.750, 0.750, 0.750], [0.000, 0.000, 0.000], [0.500, 0.500, 0.500], [0.250, 0.250, 0.250]],
  "raw_formation_energy_ev_per_atom": 0.1738,
  "magnetic_moment_mub_per_atom": 0.000,
  "final_energy_ry_per_atom": -0.3606,
  "n_ef_per_ev_fu": 4.2
}

=====

5.
{
  "formula": "Sc4SiTe",
  "functional": "GGA-PBE",
  "state": "relaxed",
  "cell": [[5.592, -0.645, 0.000], [-1.624, 7.601, 0.000], [-1.984, -3.478, 6.254]],
  "species": ["Sc", "Sc", "Sc", "Si", "Sc", "Si", "Sc", "Te", "Te", "Sc", "Sc", "Sc"],
  "frac_coords": [[0.223, 0.285, 0.368], [0.777, 0.715, 0.632], [0.044, 0.201, 0.825], [0.749, 0.999, 0.999], [0.956, 0.799, 0.175], [0.251, 0.001, 0.001], [0.719, 0.376, 0.175], [0.635, 0.385, 0.769], [0.365, 0.615, 0.231], [0.281, 0.624, 0.825], [0.354, 0.917, 0.632], [0.646, 0.083, 0.368]],
  "raw_formation_energy_ev_per_atom": -0.6635,
  "magnetic_moment_mub_per_atom": 0.000,
  "final_energy_ry_per_atom": -0.4639,
  "n_ef_per_ev_fu": 6.6,
  "polymorph_energy_kj_per_mol_fu": 0
}

=====

6.
{
  "formula": "ScSi2Te",
  "functional": "GGA-PBE",
  "state": "relaxed",
  "cell": [[3.772, 0.000, 0.000], [0.000, 3.772, 0.000], [0.000, 0.000, 5.762]],
  "species": ["Te", "Si", "Sc", "Si"],
  "frac_coords": [[0.000, 0.000, 0.540], [0.500, 0.500, 0.186], [0.500, 0.500, 0.732], [0.000, 0.000, 0.042]],
  "raw_formation_energy_ev_per_atom": -0.1596,
  "magnetic_moment_mub_per_atom": 0.000,
  "final_energy_ry_per_atom": -0.3851,
  "n_ef_per_ev_fu": 1.2
}

=====

7.
{
  "formula": "ScSi2Te",
  "functional": "GGA-PBE",
  "state": "relaxed",
  "cell": [[-3.280, -0.934, 4.351], [2.951, -1.694, 1.861], [1.019, 3.426, 1.503]],
  "species": ["Sc", "Si", "Te", "Si"],
  "frac_coords": [[0.500, 0.000, 0.500], [0.000, 0.000, 0.000], [0.500, 0.500, 0.000], [0.000, 0.500, 0.500]],
  "raw_formation_energy_ev_per_atom": -0.0196,
  "magnetic_moment_mub_per_atom": 0.000,
  "final_energy_ry_per_atom": -0.3748,
  "n_ef_per_ev_fu": 2.7
}

=====

8.
{
  "formula": "Th2ScSi2",
  "functional": "GGA-PBE",
  "state": "relaxed",
  "cell": [[4.375, 0.000, 0.000], [0.000, 7.372, 0.000], [0.000, 0.000, 7.372]],
  "species": ["Sc", "Th", "Si", "Th", "Si", "Th", "Si", "Sc", "Si", "Th"],
  "frac_coords": [[0.000, 0.500, 0.500], [0.500, 0.321, 0.179], [0.000, 0.879, 0.621], [0.500, 0.679, 0.821], [0.000, 0.621, 0.121], [0.500, 0.179, 0.679], [0.000, 0.379, 0.879], [0.000, 0.000, 0.000], [0.000, 0.121, 0.379], [0.500, 0.821, 0.321]],
  "raw_formation_energy_ev_per_atom": -0.6956,
  "magnetic_moment_mub_per_atom": 0.000,
  "final_energy_ry_per_atom": -0.5218,
  "n_ef_per_ev_fu": 5.5
}

=====

9.
{
  "formula": "Th3ScSi6",
  "functional": "GGA-PBE",
  "state": "relaxed",
  "cell": [[-1.318, 6.683, -3.373], [-3.468, -4.420, -5.120], [-5.650, 0.295, 5.076]],
  "species": ["Th", "Si", "Si", "Si", "Si", "Th", "Si", "Sc", "Si", "Sc", "Si", "Th", "Si", "Th", "Si", "Si", "Th", "Th", "Si", "Si"],
  "frac_coords": [[0.312, 0.188, 0.750], [0.409, 0.479, 0.119], [0.021, 0.091, 0.381], [0.091, 0.381, 0.021], [0.521, 0.881, 0.591], [0.750, 0.312, 0.188], [0.979, 0.909, 0.619], [0.500, 0.500, 0.500], [0.591, 0.521, 0.881], [0.000, 0.000, 0.000], [0.119, 0.409, 0.479], [0.188, 0.750, 0.312], [0.909, 0.619, 0.979], [0.812, 0.250, 0.688], [0.381, 0.021, 0.091], [0.881, 0.591, 0.521], [0.250, 0.688, 0.812], [0.688, 0.812, 0.250], [0.479, 0.119, 0.409], [0.619, 0.979, 0.909]],
  "raw_formation_energy_ev_per_atom": -0.6037,
  "magnetic_moment_mub_per_atom": 0.000,
  "final_energy_ry_per_atom": -0.4937,
  "n_ef_per_ev_fu": 6.8
}

=====

10.
{
  "formula": "ThSc2Si",
  "functional": "GGA-PBE",
  "state": "relaxed",
  "cell": [[3.427, 0.000, 0.000], [1.713, 2.968, 0.000], [1.713, 0.989, 9.445]],
  "species": ["Sc", "Si", "Sc", "Th"],
  "frac_coords": [[0.266, 0.266, 0.201], [0.000, 0.000, 0.000], [0.734, 0.734, 0.799], [0.500, 0.500, 0.500]],
  "raw_formation_energy_ev_per_atom": -0.1390,
  "magnetic_moment_mub_per_atom": 0.000,
  "final_energy_ry_per_atom": -0.4789,
  "n_ef_per_ev_fu": 4.3
}

=====

11.
{
  "formula": "Th2ScSi",
  "functional": "GGA-PBE",
  "state": "relaxed",
  "cell": [[3.756, 0.000, 0.000], [1.878, 3.253, 0.000], [1.878, 1.084, 10.172]],
  "species": ["Th", "Si", "Sc", "Th"],
  "frac_coords": [[0.894, 0.894, 0.318], [0.500, 0.500, 0.500], [0.000, 0.000, 0.000], [0.106, 0.106, 0.682]],
  "raw_formation_energy_ev_per_atom": 0.2027,
  "magnetic_moment_mub_per_atom": 0.108,
  "final_energy_ry_per_atom": -0.4738,
  "n_ef_per_ev_fu": 6.1
}

=====

12.
{
  "formula": "ThScSi2",
  "functional": "GGA-PBE",
  "state": "relaxed",
  "cell": [[3.367, 0.000, 0.000], [0.000, 5.253, 0.178], [0.000, -1.560, 5.019]],
  "species": ["Si", "Sc", "Th", "Si"],
  "frac_coords": [[0.500, 0.494, 0.886], [0.500, 0.593, 0.407], [0.000, 0.015, 0.985], [0.500, 0.114, 0.506]],
  "raw_formation_energy_ev_per_atom": -0.3933,
  "magnetic_moment_mub_per_atom": 0.050,
  "final_energy_ry_per_atom": -0.4809,
  "n_ef_per_ev_fu": 3.9,
  "polymorph_energy_kj_per_mol_fu": 67
}

=====

13.
{
  "formula": "ThScSi2",
  "functional": "GGA-PBE",
  "state": "relaxed",
  "cell": [[4.461, 0.000, 0.000], [2.230, 3.863, 0.000], [2.230, 1.288, 5.156]],
  "species": ["Si", "Si", "Th", "Sc"],
  "frac_coords": [[0.769, 0.769, 0.693], [0.231, 0.231, 0.307], [0.000, 0.000, 0.000], [0.500, 0.500, 0.500]],
  "raw_formation_energy_ev_per_atom": -0.5661,
  "magnetic_moment_mub_per_atom": 0.000,
  "final_energy_ry_per_atom": -0.4936,
  "n_ef_per_ev_fu": 2.8,
  "polymorph_energy_kj_per_mol_fu": 0
}

=====

14.
{
  "formula": "ScTiSi3",
  "functional": "GGA-PBE",
  "state": "relaxed",
  "cell": [[4.655, 0.000, 0.000], [0.000, 4.655, 0.000], [0.000, 0.000, 4.655]],
  "species": ["Ti", "Si", "Si", "Si", "Sc"],
  "frac_coords": [[0.000, 0.000, 0.000], [0.500, 0.000, 0.000], [0.000, 0.500, 0.000], [0.000, 0.000, 0.500], [0.500, 0.500, 0.500]],
  "raw_formation_energy_ev_per_atom": 0.2431,
  "magnetic_moment_mub_per_atom": 0.000,
  "final_energy_ry_per_atom": -0.4304,
  "n_ef_per_ev_fu": 4.2
}

=====

15.
{
  "formula": "ScTiSi3",
  "functional": "GGA-PBE",
  "state": "relaxed",
  "cell": [[4.801, 0.000, 0.000], [0.000, 4.801, 0.000], [0.000, 0.000, 4.801]],
  "species": ["Si", "Sc", "Ti", "Si", "Si"],
  "frac_coords": [[0.000, 0.000, 0.500], [0.000, 0.000, 0.000], [0.500, 0.500, 0.500], [0.500, 0.000, 0.000], [0.000, 0.500, 0.000]],
  "raw_formation_energy_ev_per_atom": 0.9993,
  "magnetic_moment_mub_per_atom": 0.000,
  "final_energy_ry_per_atom": -0.3748,
  "n_ef_per_ev_fu": 10.6
}

=====

16.
{
  "formula": "Sc2TiSi2",
  "functional": "GGA-PBE",
  "state": "relaxed",
  "cell": [[6.811, 0.000, 0.000], [0.000, 6.811, 0.000], [0.000, 0.000, 3.893]],
  "species": ["Ti", "Sc", "Sc", "Si", "Ti", "Si", "Sc", "Si", "Si", "Sc"],
  "frac_coords": [[0.500, 0.500, 0.000], [0.675, 0.825, 0.500], [0.175, 0.675, 0.500], [0.873, 0.627, 0.000], [0.000, 0.000, 0.000], [0.127, 0.373, 0.000], [0.825, 0.325, 0.500], [0.627, 0.127, 0.000], [0.373, 0.873, 0.000], [0.325, 0.175, 0.500]],
  "raw_formation_energy_ev_per_atom": -0.7067,
  "magnetic_moment_mub_per_atom": 0.217,
  "final_energy_ry_per_atom": -0.5136,
  "n_ef_per_ev_fu": 5.1,
  "polymorph_energy_kj_per_mol_fu": 0
}

=====

17.
{
  "formula": "Sc2TiSi2",
  "functional": "GGA-PBE",
  "state": "relaxed",
  "cell": [[3.392, 0.000, 0.000], [0.000, 3.392, 0.000], [1.696, 1.696, 8.625]],
  "species": ["Sc", "Si", "Ti", "Si", "Sc"],
  "frac_coords": [[0.616, 0.616, 0.768], [0.250, 0.750, 0.500], [0.000, 0.000, 0.000], [0.750, 0.250, 0.500], [0.384, 0.384, 0.232]],
  "raw_formation_energy_ev_per_atom": -0.0112,
  "magnetic_moment_mub_per_atom": 0.000,
  "final_energy_ry_per_atom": -0.4625,
  "n_ef_per_ev_fu": 6.6,
  "polymorph_energy_kj_per_mol_fu": 336
}

=====

18.
{
  "formula": "ScTi2Si2",
  "functional": "GGA-PBE",
  "state": "relaxed",
  "cell": [[-1.388, -6.559, 1.782], [6.409, -1.868, -1.884], [1.103, 0.619, 3.137]],
  "species": ["Ti", "Si", "Si", "Sc", "Ti", "Ti", "Si", "Ti", "Sc", "Si"],
  "frac_coords": [[0.329, 0.171, 0.500], [0.376, 0.876, 0.000], [0.624, 0.124, 0.000], [0.000, 0.000, 0.000], [0.829, 0.329, 0.500], [0.171, 0.671, 0.500], [0.876, 0.624, 0.000], [0.671, 0.829, 0.500], [0.500, 0.500, 0.000], [0.124, 0.376, 0.000]],
  "raw_formation_energy_ev_per_atom": -0.6942,
  "magnetic_moment_mub_per_atom": 0.000,
  "final_energy_ry_per_atom": -0.5356,
  "n_ef_per_ev_fu": 6.0
}

=====

19.
{
  "formula": "ScTi2Si",
  "functional": "GGA-PBE",
  "state": "relaxed",
  "cell": [[-0.499, 7.357, 1.136], [-3.532, 0.768, -6.527], [-4.364, 3.713, -1.466]],
  "species": ["Sc", "Si", "Ti", "Si", "Sc", "Ti", "Ti", "Ti"],
  "frac_coords": [[0.750, 0.250, 0.500], [0.250, 0.750, 0.500], [0.585, 0.125, 0.250], [0.500, 0.500, 0.000], [0.000, 0.000, 0.000], [0.875, 0.835, 0.750], [0.375, 0.415, 0.750], [0.165, 0.625, 0.250]],
  "raw_formation_energy_ev_per_atom": 0.0397,
  "magnetic_moment_mub_per_atom": 0.000,
  "final_energy_ry_per_atom": -0.5032,
  "n_ef_per_ev_fu": 4.4
}

=====

20.
{
  "formula": "Sc2TiSi2",
  "functional": "GGA-PBE",
  "state": "relaxed",
  "cell": [[7.861, 0.000, 0.000], [0.000, 7.861, 0.000], [0.000, 0.000, 2.947]],
  "species": ["Si", "Sc", "Ti", "Sc", "Si", "Si", "Sc", "Sc", "Ti", "Si"],
  "frac_coords": [[0.675, 0.825, 0.500], [0.127, 0.373, 0.000], [0.000, 0.000, 0.000], [0.873, 0.627, 0.000], [0.325, 0.175, 0.500], [0.825, 0.325, 0.500], [0.373, 0.873, 0.000], [0.627, 0.127, 0.000], [0.500, 0.500, 0.000], [0.175, 0.675, 0.500]],
  "raw_formation_energy_ev_per_atom": -0.2083,
  "magnetic_moment_mub_per_atom": 0.290,
  "final_energy_ry_per_atom": -0.4769,
  "n_ef_per_ev_fu": 5.1,
  "polymorph_energy_kj_per_mol_fu": 240
}

=====

21.
{
  "formula": "ScTi2Si",
  "functional": "GGA-PBE",
  "state": "relaxed",
  "cell": [[2.867, 0.000, 0.000], [1.433, 2.483, 0.000], [1.433, 0.828, 9.967]],
  "species": ["Si", "Ti", "Sc", "Ti"],
  "frac_coords": [[0.500, 0.500, 0.500], [0.905, 0.905, 0.284], [0.000, 0.000, 0.000], [0.095, 0.095, 0.716]],
  "raw_formation_energy_ev_per_atom": 0.1058,
  "magnetic_moment_mub_per_atom": 0.087,
  "final_energy_ry_per_atom": -0.4983,
  "n_ef_per_ev_fu": 4.9
}

=====

22.
{
  "formula": "ScTlSi4",
  "functional": "GGA-PBE",
  "state": "relaxed",
  "cell": [[0.000, 3.737, 3.737], [3.737, 0.000, 3.737], [3.737, 3.737, 0.000]],
  "species": ["Si", "Tl", "Si", "Si", "Sc", "Si"],
  "frac_coords": [[0.376, 0.376, 0.873], [0.750, 0.750, 0.750], [0.376, 0.376, 0.376], [0.873, 0.376, 0.376], [0.000, 0.000, 0.000], [0.376, 0.873, 0.376]],
  "raw_formation_energy_ev_per_atom": 0.1237,
  "magnetic_moment_mub_per_atom": 0.000,
  "final_energy_ry_per_atom": -0.3632,
  "n_ef_per_ev_fu": 3.9
}

=====

23.
{
  "formula": "ScTl2Si",
  "functional": "GGA-PBE",
  "state": "relaxed",
  "cell": [[-1.508, -1.213, -3.125], [3.613, 0.645, -1.994], [1.738, -5.601, 1.336]],
  "species": ["Si", "Tl", "Tl", "Sc"],
  "frac_coords": [[0.500, 0.500, 0.750], [0.000, 0.000, 0.996], [0.000, 0.000, 0.504], [0.500, 0.500, 0.250]],
  "raw_formation_energy_ev_per_atom": 0.1595,
  "magnetic_moment_mub_per_atom": 0.000,
  "final_energy_ry_per_atom": -0.2912,
  "n_ef_per_ev_fu": 2.2,
  "polymorph_energy_kj_per_mol_fu": 82
}

=====

24.
{
  "formula": "ScTlSi2",
  "functional": "GGA-PBE",
  "state": "relaxed",
  "cell": [[4.983, -0.192, 0.099], [-4.329, 6.101, -0.077], [0.004, 1.754, 2.703]],
  "species": ["Si", "Tl", "Si", "Sc"],
  "frac_coords": [[0.000, 0.500, 0.500], [0.500, 0.500, 0.000], [0.000, 0.000, 0.000], [0.500, 0.000, 0.500]],
  "raw_formation_energy_ev_per_atom": 0.0948,
  "magnetic_moment_mub_per_atom": 0.000,
  "final_energy_ry_per_atom": -0.3521,
  "n_ef_per_ev_fu": 2.3,
  "polymorph_energy_kj_per_mol_fu": 66
}

=====

25.
{
  "formula": "ScTl2Si",
  "functional": "GGA-PBE",
  "state": "relaxed",
  "cell": [[-2.400, -2.641, -3.001], [0.689, -3.518, 2.546], [-3.706, 0.867, 2.201]],
  "species": ["Tl", "Si", "Tl", "Sc"],
  "frac_coords": [[0.000, 0.500, 0.500], [0.500, 0.000, 0.500], [0.000, 0.000, 0.000], [0.500, 0.500, 0.000]],
  "raw_formation_energy_ev_per_atom": 0.0364,
  "magnetic_moment_mub_per_atom": 0.000,
  "final_energy_ry_per_atom": -0.3003,
  "n_ef_per_ev_fu": 2.9,
  "polymorph_energy_kj_per_mol_fu": 35
}

=====

26.
{
  "formula": "ScTlSi2",
  "functional": "GGA-PBE",
  "state": "relaxed",
  "cell": [[-1.930, -4.788, 1.364], [-0.791, -3.245, -4.165], [4.087, 2.994, 1.685]],
  "species": ["Sc", "Si", "Si", "Tl"],
  "frac_coords": [[0.250, 0.750, 0.500], [0.500, 0.500, 0.000], [0.000, 0.000, 0.000], [0.750, 0.250, 0.500]],
  "raw_formation_energy_ev_per_atom": 0.0211,
  "magnetic_moment_mub_per_atom": 0.000,
  "final_energy_ry_per_atom": -0.3576,
  "n_ef_per_ev_fu": 1.1,
  "polymorph_energy_kj_per_mol_fu": 38
}

=====

27.
{
  "formula": "ScTlSi2",
  "functional": "GGA-PBE",
  "state": "relaxed",
  "cell": [[-2.566, -1.641, 3.794], [-1.436, -4.646, 0.138], [2.038, -3.083, 3.164]],
  "species": ["Si", "Si", "Sc", "Tl"],
  "frac_coords": [[0.250, 0.250, 0.250], [0.000, 0.000, 0.000], [0.500, 0.500, 0.500], [0.750, 0.750, 0.750]],
  "raw_formation_energy_ev_per_atom": 0.3121,
  "magnetic_moment_mub_per_atom": 0.000,
  "final_energy_ry_per_atom": -0.3362,
  "n_ef_per_ev_fu": 3.2,
  "polymorph_energy_kj_per_mol_fu": 150
}